Entry 1:
This record from OQMD via LeMat-Bulk describes an optimized crystal structure of Sc2Si3W4C3. The functional is PBE.

Calculated total energy   -9.35 eV per atom
Space group   No. 15

a b c (Å): 5.365 5.365 13.428
angles (deg): 101.70 101.70 60.16
Atoms (fractional coordinates):
1 C 0.500 0.000 0.000
2 C 0.829 0.336 0.000
3 C 0.664 0.171 0.500
4 C 0.000 0.500 0.500
5 C 0.336 0.829 0.500
6 C 0.171 0.664 0.000
7 Sc 0.538 0.374 0.115
8 Sc 0.626 0.462 0.385
9 Sc 0.374 0.538 0.615
10 Sc 0.462 0.626 0.885
11 Si 0.590 0.870 0.250
12 Si 0.061 0.939 0.250
13 Si 0.130 0.410 0.250
14 Si 0.870 0.590 0.750
15 Si 0.939 0.061 0.750
16 Si 0.410 0.130 0.750
17 W 0.853 0.694 0.084
18 W 0.202 0.018 0.084
19 W 0.982 0.798 0.416
20 W 0.306 0.147 0.416
21 W 0.694 0.853 0.584
22 W 0.018 0.202 0.584
23 W 0.798 0.982 0.916
24 W 0.147 0.306 0.916

Entry 2:
This record from OQMD via LeMat-Bulk describes an optimized crystal structure of Zr2Sc4Si3C3. The functional is PBE.

Calculated total energy   -7.85 eV per atom
Space group   No. 15

a b c (Å): 5.787 5.787 14.121
angles (deg): 101.96 101.96 59.69
Atoms (fractional coordinates):
1 C 0.000 0.500 0.000
2 C 0.340 0.823 0.001
3 C 0.177 0.660 0.499
4 C 0.500 0.000 0.500
5 C 0.823 0.340 0.501
6 C 0.660 0.177 0.999
7 Sc 0.697 0.862 0.092
8 Sc 0.040 0.194 0.092
9 Sc 0.806 0.960 0.408
10 Sc 0.138 0.303 0.408
11 Sc 0.862 0.697 0.592
12 Sc 0.194 0.040 0.592
13 Sc 0.960 0.806 0.908
14 Sc 0.303 0.138 0.908
15 Si 0.755 0.506 0.250
16 Si 0.023 0.977 0.250
17 Si 0.494 0.245 0.250
18 Si 0.506 0.755 0.750
19 Si 0.977 0.023 0.750
20 Si 0.245 0.494 0.750
21 Zr 0.357 0.537 0.091
22 Zr 0.463 0.643 0.409
23 Zr 0.537 0.357 0.591
24 Zr 0.643 0.463 0.909

Entry 3:
This record from OQMD via LeMat-Bulk describes an optimized crystal structure of TmScSnC. The functional is PBE.

Energy relative to the lowest polymorph listed for this composition   0.000 eV/atom
Calculated total energy   -6.63 eV per atom
Space group   No. 186

a b c (Å): 3.470 3.470 15.267
angles (deg): 90.00 90.00 120.00
Atoms (fractional coordinates):
1 C 0.000 0.000 0.004
2 C 0.000 0.000 0.504
3 Sc 0.333 0.667 0.083
4 Sc 0.667 0.333 0.583
5 Sn 0.667 0.333 0.246
6 Sn 0.333 0.667 0.746
7 Tm 0.333 0.667 0.417
8 Tm 0.667 0.333 0.917